(1)
Computed, not measured: a relaxed CrReOsI2 crystal at the GGA-PBE level of DFT.

Lattice parameters (Å, degrees): 5.2970 5.2970 4.7960 90.00 90.00 90.00
Closest atoms and distances in Å follow each position.
Fractional positions:
Cr (0.0000, 0.0000, 0.0000)  8 I 3.57, 4 Os 3.75
Re (0.5000, 0.5000, 0.5000)  2 Os 2.40, 4 I 2.65
Os (0.5000, 0.5000, 0.0000)  2 Re 2.40
I (0.0000, 0.5000, 0.5000)  2 Re 2.65
I (0.5000, 0.0000, 0.5000)  2 Re 2.65

Computed properties:
- formation energy without anion corrections (eV/atom) = 2.27
- Fermi-level density of states (states/eV/atom) = 1.70
- M_tot (Bohr magnetons per cell) = 0.3
- space-group type = No. 123

=====

(2)
Computed, not measured: a relaxed TiZn2BC crystal at the GGA-PBE level of DFT.

Lattice parameters (Å, degrees): 4.9922 4.9922 2.8386 90.00 90.00 90.00
Closest atoms and distances in Å follow each position.
Fractional positions:
Ti (0.0000, 0.0000, 0.0000)  2 Ti 2.84, 8 Zn 2.87
Zn (0.0000, 0.5000, 0.5000)  2 B 2.50
Zn (0.5000, 0.0000, 0.5000)  2 B 2.50
B (0.5000, 0.5000, 0.5000)  2 C 1.42
C (0.5000, 0.5000, 0.0000)  2 B 1.42

Computed properties:
- calculated formation energy (eV per atom) = 0.597
- Fermi-level density of states (states/eV/atom) = 0.90
- M_tot (Bohr magnetons per cell) = 0.0
- space-group type = No. 123

=====

Which formula does entry 1 have? CrReOsI2